a | A plane-wave DFT calculation with PBE was carried out for a relaxed structure of TmAl4Ag.

Unit cell a=5.449 b=5.449 c=5.449 alpha=60.00 beta=60.00 gamma=60.00
Fractional coordinates of all 6 atoms:
Tm 0.000 0.000 0.000
Al 0.626 0.626 0.122
Al 0.626 0.122 0.626
Al 0.626 0.626 0.626
Al 0.122 0.626 0.626
Ag 0.250 0.250 0.250

## Properties
As for the total magnetization: 0.0 μB/f.u. Its crystal system is cubic. Its space group is No. 216.

---

b | A plane-wave DFT calculation with PBE was carried out for a relaxed structure of TmAl4Ag.

Unit cell a=4.203 b=4.347 c=6.513 alpha=90.00 beta=108.82 gamma=90.00
Fractional coordinates of all 6 atoms:
Tm 0.000 0.000 0.000
Al 0.320 0.000 0.640
Al 0.680 0.000 0.360
Al 0.829 0.500 0.658
Al 0.171 0.500 0.342
Ag 0.500 0.500 0.000

## Properties
As for the total magnetization: 0.0 μB/f.u. Its crystal system is orthorhombic. Its space group is No. 65.

---

In meV/atom, relative to the most stable structure: a 15; b 0.

---

a | A plane-wave DFT calculation with PBE was carried out for a relaxed structure of Tm4Al3Ag.

Unit cell a=3.546 b=3.546 c=14.395 alpha=90.00 beta=90.00 gamma=90.00
Fractional coordinates of all 8 atoms:
Tm 0.000 0.000 0.873
Tm 0.000 0.000 0.127
Tm 0.000 0.000 0.377
Tm 0.000 0.000 0.623
Al 0.500 0.500 0.252
Al 0.500 0.500 0.500
Al 0.500 0.500 0.748
Ag 0.500 0.500 0.000

## Properties
As for the total magnetization: 0.0 μB/f.u. Its crystal system is tetragonal. Its space group is No. 123.

---

b | A plane-wave DFT calculation with PBE was carried out for a relaxed structure of Tm4Al3Ag.

Unit cell a=3.625 b=4.533 c=11.449 alpha=90.00 beta=90.00 gamma=90.00
Fractional coordinates of all 8 atoms:
Tm 0.500 0.500 0.343
Tm 0.000 0.500 0.847
Tm 0.000 0.000 0.153
Tm 0.500 0.000 0.658
Al 0.000 0.500 0.568
Al 0.000 0.000 0.431
Al 0.500 0.000 0.928
Ag 0.500 0.500 0.071

## Properties
As for the total magnetization: 0.0 μB/f.u. Its crystal system is orthorhombic. Its space group is No. 25.

---

In meV/atom, relative to the most stable structure: a 0; b 24.

---

a | A plane-wave DFT calculation with PBE was carried out for a relaxed structure of AlVAg.

Unit cell a=3.149 b=3.149 c=9.372 alpha=90.00 beta=90.00 gamma=90.00
Fractional coordinates of all 6 atoms:
V 0.000 0.500 0.561
V 0.500 0.000 0.439
Al 0.000 0.500 0.273
Al 0.500 0.000 0.727
Ag 0.500 0.000 0.104
Ag 0.000 0.500 0.896

## Properties
As for the total magnetization: 0.0 μB/f.u. Its crystal system is tetragonal. Its space group is No. 129.

---

b | A plane-wave DFT calculation with PBE was carried out for a relaxed structure of AlVAg.

Unit cell a=2.739 b=2.739 c=6.470 alpha=102.22 beta=102.22 gamma=90.00
Fractional coordinates of all 3 atoms:
Al 0.660 0.660 0.319
Ag 0.333 0.333 0.666
V 0.008 0.008 0.015

## Properties
As for the total magnetization: 0.0 μB/f.u. Its crystal system is tetragonal. Its space group is No. 107.

---

In meV/atom, relative to the most stable structure: a 0; b 158.

---

a | A plane-wave DFT calculation with PBE was carried out for a relaxed structure of Al2VAg.

Unit cell a=2.785 b=2.785 c=7.980 alpha=90.00 beta=90.00 gamma=90.00
Fractional coordinates of all 4 atoms:
Al 0.000 0.000 0.767
Al 0.000 0.000 0.233
Ag 0.500 0.500 0.500
V 0.500 0.500 0.000

## Properties
As for the total magnetization: 0.0 μB/f.u. Its crystal system is tetragonal. Its space group is No. 123.

---

b | A plane-wave DFT calculation with PBE was carried out for a relaxed structure of Al2VAg.

Unit cell a=7.045 b=7.045 c=5.717 alpha=51.96 beta=51.96 gamma=90.00
Each line ends with the local moment (μB).
Fractional coordinates of all 8 atoms:
Al 0.635 0.125 0.250  -0.03
Al 0.115 0.625 0.250  -0.03
Al 0.375 0.365 0.750  -0.03
Al 0.875 0.885 0.750  -0.03
Ag 0.000 0.000 0.000  0.02
Ag 0.750 0.250 0.500  0.02
V 0.500 0.500 0.000  1.57
V 0.250 0.750 0.500  1.57

## Properties
As for the total magnetization: 1.7 μB/f.u. Its crystal system is tetragonal. Its space group is No. 122.

---

c | A plane-wave DFT calculation with PBE was carried out for a relaxed structure of Al2VAg.

Unit cell a=2.819 b=2.819 c=9.828 alpha=81.75 beta=81.75 gamma=60.00
Each line ends with the local moment (μB).
Fractional coordinates of all 4 atoms:
Al 0.088 0.088 0.737  0.00
Al 0.912 0.912 0.263  0.00
Ag 0.500 0.500 0.500  0.00
V 0.000 0.000 0.000  -0.14

## Properties
As for the total magnetization: 0.2 μB/f.u. Its crystal system is trigonal. Its space group is No. 166.

---

d | A plane-wave DFT calculation with PBE was carried out for a relaxed structure of Al2VAg.

Unit cell a=3.699 b=4.064 c=4.064 alpha=90.00 beta=90.00 gamma=90.00
Fractional coordinates of all 4 atoms:
Al 0.000 0.000 0.500
Al 0.000 0.500 0.000
Ag 0.500 0.500 0.500
V 0.500 0.000 0.000

## Properties
As for the total magnetization: 0.0 μB/f.u. Its crystal system is tetragonal. Its space group is No. 123.

---

In meV/atom, relative to the most stable structure: a 0; b 506; c 483; d 32.